--- w ---
Material: HgW2
Method: DFT, PBE-GGA
State: relaxed

```
HgW2
1.0
3.634 0.000 0.000
0.000 3.634 0.000
0.000 0.000 4.703
Hg W
1 2
direct
0.000 0.000 0.000
0.000 0.500 0.500
0.500 0.000 0.500
```

Computed properties:
The calculation puts the density of states at the Fermi level at 2.65 states/eV/cell. As for the total magnetization: 0.00 μB/f.u. The space group is P4/mmm, No. 123.

=====

--- x ---
Material: HgW2
Method: DFT, PBE-GGA
State: relaxed

```
HgW2
1.0
4.641 0.000 0.000
-2.321 4.019 0.000
0.000 0.000 5.585
Hg W
2 4
direct
0.333 0.667 0.250
0.667 0.333 0.750
0.000 0.000 0.000
0.000 0.000 0.500
0.333 0.667 0.750
0.667 0.333 0.250
```

Computed properties:
The calculation puts the density of states at the Fermi level at 4.78 states/eV/cell. As for the total magnetization: 0.00 μB/f.u. The space group is P6_3/mmc, No. 194.

=====

Relative to the most stable one, in meV per atom, the structures come out at w 234; x 0.

=====

--- w ---
Material: HgW4
Method: DFT, PBE-GGA
State: relaxed

```
HgW4
1.0
4.813 0.000 0.000
0.000 4.813 0.000
0.000 0.000 4.813
Hg W
1 4
direct
0.000 0.000 0.000
0.000 0.000 0.500
0.000 0.500 0.000
0.500 0.000 0.000
0.500 0.500 0.500
```

Computed properties:
The calculation puts the density of states at the Fermi level at 7.82 states/eV/cell. As for the total magnetization: 0.00 μB/f.u. The space group is Pm-3m, No. 221.

=====

--- x ---
Material: HgW4
Method: DFT, PBE-GGA
State: relaxed

```
HgW4
1.0
-2.096 2.096 5.731
2.096 -2.096 5.731
2.096 2.096 -5.731
Hg W
1 4
direct
0.000 0.000 0.000
0.250 0.750 0.500
0.382 0.382 0.000
0.618 0.618 0.000
0.750 0.250 0.500
```

Computed properties:
The calculation puts the density of states at the Fermi level at 4.00 states/eV/cell. As for the total magnetization: 0.00 μB/f.u. The space group is I4/mmm, No. 139.

=====

--- y ---
Material: HgW4
Method: DFT, PBE-GGA
State: relaxed

```
HgW4
1.0
-3.119 3.119 2.186
3.119 -3.119 2.186
3.119 3.119 -2.186
Hg W
1 4
direct
0.000 0.000 0.000
0.198 0.419 0.617
0.419 0.802 0.220
0.581 0.198 0.780
0.802 0.581 0.383
```

Computed properties:
The calculation puts the density of states at the Fermi level at 2.11 states/eV/cell. As for the total magnetization: 0.00 μB/f.u. The space group is I4/m, No. 87.

=====

Relative to the most stable one, in meV per atom, the structures come out at w 2808; x 393; y 0.

=====

--- w ---
Material: Hg2W
Method: DFT, PBE-GGA
State: relaxed

```
Hg2W
1.0
7.535 0.000 0.000
0.000 7.553 0.000
0.000 0.000 2.724
Hg W
4 2
direct
0.238 0.237 0.000
0.262 0.737 0.500
0.738 0.263 0.500
0.762 0.763 0.000
0.000 0.000 0.500
0.500 0.500 0.000
```

Computed properties:
The calculation puts the density of states at the Fermi level at 4.95 states/eV/cell. As for the total magnetization: 0.00 μB/f.u. The space group is Pnnm, No. 58.

=====

--- x ---
Material: Hg2W
Method: DFT, PBE-GGA
State: relaxed

```
Hg2W
1.0
3.176 0.000 0.000
-1.588 2.750 0.000
0.000 0.000 14.532
Hg W
4 2
direct
0.333 0.667 0.091
0.333 0.667 0.728
0.667 0.333 0.272
0.667 0.333 0.909
0.333 0.667 0.440
0.667 0.333 0.560
```

Computed properties:
The calculation puts the density of states at the Fermi level at 2.75 states/eV/cell. As for the total magnetization: 0.00 μB/f.u. The space group is P-3m1, No. 164.

=====

--- y ---
Material: Hg2W
Method: DFT, PBE-GGA
State: relaxed

```
Hg2W
1.0
2.578 1.488 5.007
-2.578 1.488 5.007
0.000 -2.977 5.007
Hg W
4 2
direct
0.000 0.000 0.000
0.174 0.826 0.500
0.500 0.174 0.826
0.826 0.500 0.174
0.330 0.330 0.330
0.670 0.670 0.670
```

Computed properties:
The calculation puts the density of states at the Fermi level at 1.26 states/eV/cell. As for the total magnetization: 0.00 μB/f.u. The space group is R32, No. 155.

=====

--- z ---
Material: Hg2W
Method: DFT, PBE-GGA
State: relaxed

```
Hg2W
1.0
8.559 0.000 0.000
-4.280 7.413 0.000
0.000 0.000 2.886
Hg W
6 3
direct
0.000 0.281 0.000
0.000 0.598 0.500
0.281 0.000 0.000
0.402 0.402 0.500
0.598 0.000 0.500
0.719 0.719 0.000
0.000 0.000 0.500
0.333 0.667 0.000
0.667 0.333 0.000
```

Computed properties:
The calculation puts the density of states at the Fermi level at 9.27 states/eV/cell. As for the total magnetization: 0.00 μB/f.u. The space group is P-62m, No. 189.

=====

Relative to the most stable one, in meV per atom, the structures come out at w 596; x 0; y 344; z 660.